No. 1
A relaxed structure of NdBePt, computed with PBE-GGA.

Geometry as POSCAR:
```
NdBePt
1.0
4.035 -0.001 0.000
-2.017 3.495 0.000
0.000 0.000 8.406
Be Nd Pt
2 2 2
Direct
0.667 0.833 0.250 Be
0.333 0.167 0.750 Be
0.000 0.500 0.500 Nd
0.000 0.500 0.000 Nd
0.667 0.833 0.750 Pt
0.333 0.167 0.250 Pt
```

Energy relative to the lowest polymorph listed for this composition = 0.000 eV/atom
E_form = -768 meV per atom

No. 2
A relaxed structure of TlH2NCl, computed with PBE-GGA.

Geometry as POSCAR:
```
TlH2NCl
1.0
-2.277 1.062 -1.414
-2.625 -5.525 3.015
3.347 11.400 3.177
H Tl Cl N
4 2 2 2
Direct
0.387 0.774 0.663 H
0.613 0.226 0.337 H
0.022 0.043 0.192 H
0.978 0.957 0.808 H
0.669 0.337 0.600 Tl
0.331 0.663 0.400 Tl
0.721 0.441 0.126 Cl
0.279 0.559 0.874 Cl
0.112 0.224 0.322 N
0.888 0.776 0.678 N
```

DFT total energy = -3.7127 eV per atom

No. 3
A relaxed structure of PaSiO4, computed with PBE-GGA.

Geometry as POSCAR:
```
PaSiO4
1.0
6.145 0.000 0.000
0.000 6.145 0.000
-3.073 -3.073 4.347
Pa O Si
1 4 1
Direct
0.750 0.250 0.500 Pa
0.609 0.390 0.782 O
0.173 0.392 0.782 O
0.610 0.827 0.218 O
0.608 0.391 0.218 O
0.500 0.500 0.000 Si
```

Energy relative to the lowest polymorph listed for this composition = 0.157 eV/atom
Formation energy from raw total energies = -2909.5 meV per atom

No. 4
A relaxed structure of KRbBa2P, computed with PBE-GGA.

Geometry as POSCAR:
```
KRbBa2P
1.0
6.381 0.000 0.000
0.000 6.381 0.000
0.000 0.000 7.085
P Ba Rb K
1 2 1 1
Direct
0.000 0.000 0.000 P
0.000 0.500 0.000 Ba
0.500 0.000 0.000 Ba
0.000 0.000 0.500 Rb
0.500 0.500 0.500 K
```

Energy relative to the lowest polymorph listed for this composition = 0.000 eV/atom
E_form = -321 meV per atom

No. 5
A relaxed structure of Cd2MoIr, computed with PBE-GGA.

Geometry as POSCAR:
```
Cd2MoIr
1.0
-6.857 5.856 3.486
-7.971 3.314 4.354
-5.984 4.666 5.991
Cd Mo Ir
2 1 1
Direct
0.998 0.998 0.998 Cd
0.502 0.502 0.502 Cd
0.750 0.750 0.750 Mo
0.250 0.250 0.250 Ir
```

Energy relative to the lowest polymorph listed for this composition = 0.409 eV/atom
E_form = 424 meV per atom

No. 6
A relaxed structure of PmAl2ZnAg4, computed with PBE-GGA.

Geometry as POSCAR:
```
PmAl2ZnAg4
1.0
-3.133 -3.143 0.702
1.196 -4.079 1.455
-1.510 0.321 9.079
Ag Pm Al Zn
4 1 2 1
Direct
0.401 0.401 0.798 Ag
0.866 0.866 0.401 Ag
0.599 0.599 0.202 Ag
0.134 0.134 0.599 Ag
0.000 0.000 0.000 Pm
0.247 0.247 0.259 Al
0.753 0.753 0.741 Al
0.500 0.500 0.500 Zn
```

E_form = -168 meV per atom

No. 7
A relaxed structure of HfTh2ZrN5, computed with PBE-GGA.

Geometry as POSCAR:
```
HfTh2ZrN5
1.0
3.488 0.000 0.000
-1.744 6.960 0.000
0.000 0.000 10.639
Hf Zr N Th
2 2 10 4
Direct
0.780 0.561 0.504 Hf
0.220 0.439 0.004 Hf
0.528 0.056 0.971 Zr
0.472 0.944 0.471 Zr
0.691 0.382 0.876 N
0.628 0.255 0.507 N
0.372 0.745 0.007 N
0.935 0.871 0.564 N
0.495 0.991 0.775 N
0.722 0.444 0.152 N
0.278 0.556 0.652 N
0.309 0.618 0.376 N
0.065 0.129 0.064 N
0.505 0.009 0.275 N
0.114 0.228 0.693 Th
0.886 0.772 0.193 Th
0.859 0.718 0.782 Th
0.141 0.282 0.282 Th
```

Formation energy from raw total energies = -1564.6 meV per atom

No. 8
A relaxed structure of MgSc2OsC, computed with PBE-GGA.

Geometry as POSCAR:
```
MgSc2OsC
1.0
4.630 0.000 0.000
0.000 4.630 0.000
0.000 0.000 3.931
C Sc Mg Os
1 2 1 1
Direct
0.000 0.000 0.000 C
0.000 0.500 0.000 Sc
0.500 0.000 0.000 Sc
0.500 0.500 0.500 Mg
0.000 0.000 0.500 Os
```

E_form = -396 meV per atom